Record 1
# CdCuGeO4 (GGA-PBE, optimized geometry)
# density of states at the Fermi level	3.0	states/eV/f.u.
# formation energy without anion corrections	-1.09	eV per atom
data_CdCuGeO4
_space_group_name_H-M_alt 'C m c m'
_space_group_IT_number 63
_space_group_name_Hall '-C 2c 2'
_cell_length_a 6.046
_cell_length_b 9.138
_cell_length_c 6.520
_cell_angle_alpha 90.00
_cell_angle_beta 90.00
_cell_angle_gamma 90.00
loop_
_atom_site_label
_atom_site_type_symbol
_atom_site_fract_x
_atom_site_fract_y
_atom_site_fract_z
Cd1 Cd 0.000 0.000 0.000
Cu1 Cu 0.000 0.321 0.250
Ge1 Ge 0.000 0.367 0.750
O1 O 0.000 0.258 0.526
O2 O 0.226 0.496 0.750

***

Record 2
# Cd2CuGeO5 (GGA-PBE, optimized geometry)
# density of states at the Fermi level	2.1	states/eV/f.u.
# formation energy without anion corrections	-1.02	eV per atom
data_Cd2CuGeO5
_space_group_name_H-M_alt 'C m c 21'
_space_group_IT_number 36
_cell_length_a 3.086
_cell_length_b 12.452
_cell_length_c 11.523
_cell_angle_alpha 90.00
_cell_angle_beta 90.00
_cell_angle_gamma 90.00
loop_
_space_group_symop_operation_xyz
'x,y,z'
'-x,-y,z+1/2'
'-x,y,z'
'x,-y,z+1/2'
'x+1/2,y+1/2,z'
'-x+1/2,-y+1/2,z+1/2'
'-x+1/2,y+1/2,z'
'x+1/2,-y+1/2,z+1/2'
loop_
_atom_site_label
_atom_site_type_symbol
_atom_site_fract_x
_atom_site_fract_y
_atom_site_fract_z
Cd1 Cd 0.000 0.070 0.000
Cd2 Cd 0.000 0.153 0.618
Cu1 Cu 0.000 0.459 0.777
Ge1 Ge 0.000 0.238 0.363
O1 O 0.000 0.087 0.374
O2 O 0.000 0.257 0.985
O3 O 0.000 0.278 0.755
O4 O 0.000 0.385 0.358
O5 O 0.000 0.486 0.120

***

Record 3
# CdCuGePd (GGA-PBE, optimized geometry)
# density of states at the Fermi level	1.7	states/eV/f.u.
# formation enthalpy at 0 K	-92	meV/atom
data_CdCuGePd
_space_group_name_H-M_alt 'F -4 3 m'
_space_group_IT_number 216
_space_group_name_Hall 'F -4 2 3'
_cell_length_a 6.390
_cell_length_b 6.390
_cell_length_c 6.390
_cell_angle_alpha 90.00
_cell_angle_beta 90.00
_cell_angle_gamma 90.00
loop_
_atom_site_label
_atom_site_type_symbol
_atom_site_fract_x
_atom_site_fract_y
_atom_site_fract_z
Cd1 Cd 0.000 0.000 0.000
Cu1 Cu 0.250 0.250 0.750
Ge1 Ge 0.000 0.000 0.500
Pd1 Pd 0.250 0.250 0.250

***

Record 4
# Cd2CuGe2Pd5 (GGA-PBE, optimized geometry)
# density of states at the Fermi level	4.0	states/eV/f.u.
# formation enthalpy at 0 K	-269	meV/atom
data_Cd2CuGe2Pd5
_space_group_name_H-M_alt 'P 4/m b m'
_space_group_IT_number 127
_space_group_name_Hall '-P 4 2ab'
_cell_length_a 10.289
_cell_length_b 10.289
_cell_length_c 3.152
_cell_angle_alpha 90.00
_cell_angle_beta 90.00
_cell_angle_gamma 90.00
loop_
_atom_site_label
_atom_site_type_symbol
_atom_site_fract_x
_atom_site_fract_y
_atom_site_fract_z
Cd1 Cd 0.174 0.326 0.000
Cu1 Cu 0.000 0.000 0.000
Ge1 Ge 0.138 0.638 0.000
Pd1 Pd 0.000 0.500 0.500
Pd2 Pd 0.031 0.796 0.500

***

Record 5
# Cd2Cu2GePd5 (GGA-PBE, optimized geometry)
# density of states at the Fermi level	3.0	states/eV/f.u.
# formation enthalpy at 0 K	-221	meV/atom
data_Cd2Cu2GePd5
_space_group_name_H-M_alt 'P 4/m b m'
_space_group_IT_number 127
_space_group_name_Hall '-P 4 2ab'
_cell_length_a 9.349
_cell_length_b 9.349
_cell_length_c 3.716
_cell_angle_alpha 90.00
_cell_angle_beta 90.00
_cell_angle_gamma 90.00
loop_
_atom_site_label
_atom_site_type_symbol
_atom_site_fract_x
_atom_site_fract_y
_atom_site_fract_z
Cd1 Cd 0.167 0.333 0.000
Cu1 Cu 0.130 0.630 0.000
Ge1 Ge 0.000 0.000 0.000
Pd1 Pd 0.000 0.500 0.500
Pd2 Pd 0.078 0.808 0.500

***

Record 6
# Pm2CdCu3Ge4 (GGA-PBE, optimized geometry)
# density of states at the Fermi level	4.1	states/eV/f.u.
# formation enthalpy at 0 K	-448	meV/atom
data_Pm2CdCu3Ge4
_space_group_name_H-M_alt 'P -4 m 2'
_space_group_IT_number 115
_cell_length_a 4.208
_cell_length_b 4.208
_cell_length_c 10.638
_cell_angle_alpha 90.00
_cell_angle_beta 90.00
_cell_angle_gamma 90.00
loop_
_space_group_symop_operation_xyz
'x,y,z'
'y,-x,-z'
'-x,-y,z'
'-y,x,-z'
'-x,y,z'
'-y,-x,-z'
'x,-y,z'
'y,x,-z'
loop_
_atom_site_label
_atom_site_type_symbol
_atom_site_fract_x
_atom_site_fract_y
_atom_site_fract_z
Pm1 Pm 0.000 0.500 0.241
Cd1 Cd 0.000 0.000 0.500
Cu1 Cu 0.000 0.500 0.874
Cu2 Cu 0.500 0.500 0.500
Ge1 Ge 0.000 0.000 0.000
Ge2 Ge 0.000 0.500 0.651
Ge3 Ge 0.500 0.500 0.000

***

Record 7
# Pm2CdCu4Ge3 (GGA-PBE, optimized geometry)
# density of states at the Fermi level	3.0	states/eV/f.u.
# formation enthalpy at 0 K	-444	meV/atom
data_Pm2CdCu4Ge3
_space_group_name_H-M_alt 'P -4 m 2'
_space_group_IT_number 115
_cell_length_a 4.191
_cell_length_b 4.191
_cell_length_c 10.435
_cell_angle_alpha 90.00
_cell_angle_beta 90.00
_cell_angle_gamma 90.00
loop_
_space_group_symop_operation_xyz
'x,y,z'
'y,-x,-z'
'-x,-y,z'
'-y,x,-z'
'-x,y,z'
'-y,-x,-z'
'x,-y,z'
'y,x,-z'
loop_
_atom_site_label
_atom_site_type_symbol
_atom_site_fract_x
_atom_site_fract_y
_atom_site_fract_z
Pm1 Pm 0.000 0.500 0.234
Cd1 Cd 0.000 0.000 0.500
Cu1 Cu 0.000 0.000 0.000
Cu2 Cu 0.000 0.500 0.645
Cu3 Cu 0.500 0.500 0.000
Ge1 Ge 0.000 0.500 0.872
Ge2 Ge 0.500 0.500 0.500

***

Record 8
# Pr2CdCu3Ge4 (GGA-PBE, optimized geometry)
# density of states at the Fermi level	3.1	states/eV/f.u.
# formation enthalpy at 0 K	-460	meV/atom
data_Pr2CdCu3Ge4
_space_group_name_H-M_alt 'P -4 m 2'
_space_group_IT_number 115
_cell_length_a 4.297
_cell_length_b 4.297
_cell_length_c 10.433
_cell_angle_alpha 90.00
_cell_angle_beta 90.00
_cell_angle_gamma 90.00
loop_
_space_group_symop_operation_xyz
'x,y,z'
'y,-x,-z'
'-x,-y,z'
'-y,x,-z'
'-x,y,z'
'-y,-x,-z'
'x,-y,z'
'y,x,-z'
loop_
_atom_site_label
_atom_site_type_symbol
_atom_site_fract_x
_atom_site_fract_y
_atom_site_fract_z
Pr1 Pr 0.000 0.500 0.240
Cd1 Cd 0.000 0.000 0.500
Cu1 Cu 0.000 0.500 0.879
Cu2 Cu 0.500 0.500 0.500
Ge1 Ge 0.000 0.000 0.000
Ge2 Ge 0.000 0.500 0.649
Ge3 Ge 0.500 0.500 0.000

***

Record 9
# Pr2CdCu4Ge3 (GGA-PBE, optimized geometry)
# density of states at the Fermi level	3.5	states/eV/f.u.
# formation enthalpy at 0 K	-444	meV/atom
data_Pr2CdCu4Ge3
_space_group_name_H-M_alt 'P -4 m 2'
_space_group_IT_number 115
_cell_length_a 4.235
_cell_length_b 4.235
_cell_length_c 10.431
_cell_angle_alpha 90.00
_cell_angle_beta 90.00
_cell_angle_gamma 90.00
loop_
_space_group_symop_operation_xyz
'x,y,z'
'y,-x,-z'
'-x,-y,z'
'-y,x,-z'
'-x,y,z'
'-y,-x,-z'
'x,-y,z'
'y,x,-z'
loop_
_atom_site_label
_atom_site_type_symbol
_atom_site_fract_x
_atom_site_fract_y
_atom_site_fract_z
Pr1 Pr 0.000 0.500 0.234
Cd1 Cd 0.000 0.000 0.500
Cu1 Cu 0.000 0.000 0.000
Cu2 Cu 0.000 0.500 0.644
Cu3 Cu 0.500 0.500 0.000
Ge1 Ge 0.000 0.500 0.873
Ge2 Ge 0.500 0.500 0.500

***

Record 10
# Cd2Cu2GePt5 (GGA-PBE, optimized geometry)
# density of states at the Fermi level	2.9	states/eV/f.u.
# formation enthalpy at 0 K	-223	meV/atom
data_Cd2Cu2GePt5
_space_group_name_H-M_alt 'P 4/m b m'
_space_group_IT_number 127
_space_group_name_Hall '-P 4 2ab'
_cell_length_a 9.244
_cell_length_b 9.244
_cell_length_c 3.813
_cell_angle_alpha 90.00
_cell_angle_beta 90.00
_cell_angle_gamma 90.00
loop_
_atom_site_label
_atom_site_type_symbol
_atom_site_fract_x
_atom_site_fract_y
_atom_site_fract_z
Cd1 Cd 0.169 0.331 0.000
Cu1 Cu 0.128 0.628 0.000
Ge1 Ge 0.000 0.000 0.000
Pt1 Pt 0.000 0.500 0.500
Pt2 Pt 0.077 0.803 0.500

***

Record 11
# Cd2CuGe2Pt5 (GGA-PBE, optimized geometry)
# density of states at the Fermi level	4.1	states/eV/f.u.
# formation enthalpy at 0 K	-228	meV/atom
data_Cd2CuGe2Pt5
_space_group_name_H-M_alt 'P 4/m b m'
_space_group_IT_number 127
_space_group_name_Hall '-P 4 2ab'
_cell_length_a 10.010
_cell_length_b 10.010
_cell_length_c 3.363
_cell_angle_alpha 90.00
_cell_angle_beta 90.00
_cell_angle_gamma 90.00
loop_
_atom_site_label
_atom_site_type_symbol
_atom_site_fract_x
_atom_site_fract_y
_atom_site_fract_z
Cd1 Cd 0.173 0.327 0.000
Cu1 Cu 0.000 0.000 0.000
Ge1 Ge 0.138 0.638 0.000
Pt1 Pt 0.000 0.500 0.500
Pt2 Pt 0.029 0.795 0.500

***

Record 12
# CdCuReGe2 (GGA-PBE, optimized geometry)
# density of states at the Fermi level	3.4	states/eV/f.u.
# formation enthalpy at 0 K	768	meV/atom
data_CdCuReGe2
_space_group_name_H-M_alt 'P 4/m m m'
_space_group_IT_number 123
_space_group_name_Hall '-P 4 2'
_cell_length_a 4.757
_cell_length_b 4.757
_cell_length_c 5.339
_cell_angle_alpha 90.00
_cell_angle_beta 90.00
_cell_angle_gamma 90.00
loop_
_atom_site_label
_atom_site_type_symbol
_atom_site_fract_x
_atom_site_fract_y
_atom_site_fract_z
Cd1 Cd 0.000 0.000 0.000
Cu1 Cu 0.500 0.500 0.000
Re1 Re 0.000 0.000 0.500
Ge1 Ge 0.000 0.500 0.500